Compound: Zr3InSb
Source: Alexandria via LeMat-Bulk
Functional: PBE
Structure: relaxed

extended XYZ file:
```
20
Lattice="-3.394 3.909 4.491 -4.022 -6.754 2.839 7.009 0.420 4.932" Properties=species:S:1:pos:R:3 pbc="T T T"
Zr 0.001 -1.215 2.274
Zr -0.409 -1.211 9.988
Zr -0.994 0.910 4.901
Zr 0.586 -3.336 7.361
Zr -1.766 -2.724 4.559
Zr 1.358 0.299 7.703
Zr -4.746 -2.610 7.435
Zr 4.339 0.184 4.826
Zr -2.038 -3.686 8.720
Zr 1.631 1.260 3.542
Zr 3.638 -2.499 6.748
Zr -4.045 0.073 5.514
In -1.532 -1.099 7.075
In 1.125 -1.327 5.187
In -4.023 -5.338 3.653
In 3.615 2.912 8.608
Sb -2.674 -0.277 2.826
Sb 2.267 -2.149 9.436
Sb -0.519 2.507 7.260
Sb 0.111 -4.933 5.001
```

Summary:
- uncorrected formation energy (kJ/mol of atoms) = -21.1
- DOS(E_F) (states/eV/cell) = 19.051
- SG = No. 14